SrEr2Co | GGA-PBE | relaxed

a b c (Å): 3.8558 3.8558 31.6144
angles (deg): 90.00 90.00 120.00
Closest atoms and distances in Å follow each position.
Space group R-3m (No. 166, hexagonal axes)
Inequivalent atoms, fractional coordinates:
Sr1 0.0000 0.0000 0.0000 x3  6 Sr 3.86, 2 Er 3.86
Er1 0.0000 0.0000 0.1222 x6  3 Co 2.63
Co1 0.0000 0.0000 0.5000 x3  6 Er 2.63

N(E_F)   12.33 states/eV per cell
Offset from the most stable computed form   32.4 kJ/mol of formula units
Magnetic moment   0.00 μB per atom
V   136 Å³/f.u.



ErTaCo2 | GGA-PBE | relaxed

a b c (Å): 6.3394 6.3394 6.3394
angles (deg): 90.00 90.00 90.00
Closest atoms and distances in Å follow each position.
Space group Fm-3m (No. 225)
Inequivalent atoms, fractional coordinates:
Er1 0.0000 0.0000 0.0000 x4  8 Co 2.75
Ta1 0.0000 0.0000 0.5000 x4  8 Co 2.75
Co1 0.2500 0.2500 0.2500 x8  4 Er 2.75, 4 Ta 2.75

N(E_F)   14.28 states/eV per cell
Offset from the most stable computed form   54.7 kJ/mol of formula units
Magnetic moment   0.26 μB per atom
V   64 Å³/f.u.



ErTaCo2 | GGA-PBE | relaxed

a b c (Å): 4.5626 4.5626 3.0500
angles (deg): 90.00 90.00 90.00
Closest atoms and distances in Å follow each position.
Space group P4/mmm (No. 123)
Inequivalent atoms, fractional coordinates:
Er1 0.0000 0.0000 0.0000 x1  8 Co 2.74, 2 Er 3.05
Ta1 0.5000 0.5000 0.0000 x1  8 Co 2.74, 2 Ta 3.05
Co1 0.0000 0.5000 0.5000 x2  4 Ta 2.74, 4 Er 2.74, 2 Co 3.05

N(E_F)   3.76 states/eV per cell
Offset from the most stable computed form   46.7 kJ/mol of formula units
Magnetic moment   0.32 μB per atom
V   63 Å³/f.u.



ErTaCo2 | GGA-PBE | relaxed

a b c (Å): 4.1702 4.1702 13.7214
angles (deg): 90.00 90.00 120.00
Closest atoms and distances in Å follow each position.
Space group R-3m (No. 166, hexagonal axes)
Inequivalent atoms, fractional coordinates:
Er1 0.0000 0.0000 0.0000 x3  8 Co 2.92
Ta1 0.0000 0.0000 0.5000 x3  6 Co 2.49
Co1 0.0000 0.0000 0.2127 x6  3 Ta 2.49, 3 Co 2.72

N(E_F)   13.72 states/eV per cell
Offset from the most stable computed form   30.6 kJ/mol of formula units
Magnetic moment   0.00 μB per atom
V   69 Å³/f.u.



ErTaCo2 | GGA-PBE | relaxed

a b c (Å): 3.1048 3.1048 6.7232
angles (deg): 90.00 90.00 90.00
Closest atoms and distances in Å follow each position.
Space group P4/mmm (No. 123)
Inequivalent atoms, fractional coordinates:
Er1 0.0000 0.0000 0.0000 x1  8 Co 2.96, 4 Er 3.10
Ta1 0.0000 0.0000 0.5000 x1  8 Co 2.59
Co1 0.5000 0.5000 0.2962 x2  4 Ta 2.59, 1 Co 2.74

N(E_F)   4.91 states/eV per cell
Offset from the most stable computed form   0.0 kJ/mol of formula units
Magnetic moment   0.00 μB per atom
V   65 Å³/f.u.



ErTaTiCo2 | GGA-PBE | relaxed

a b c (Å): 4.2110 4.2110 9.7427
angles (deg): 90.00 90.00 90.00
Closest atoms and distances in Å follow each position.
Space group I-4m2 (No. 119)
Inequivalent atoms, fractional coordinates:
Er1 0.0000 0.0000 0.0000 x2  8 Co 3.19, 4 Ta 3.22, 4 Ti 3.22
Ta1 0.0000 0.5000 0.7500 x2  4 Co 2.47
Ti1 0.0000 0.5000 0.2500 x2  4 Co 2.47
Co1 0.0000 0.0000 0.3821 x4  1 Co 2.30, 2 Ta 2.47, 2 Ti 2.47

N(E_F)   7.01 states/eV per cell
E   -7.963 eV/atom
Magnetic moment   0.00 μB per atom
V   86 Å³/f.u.



Tb2ErCo | GGA-PBE | relaxed

a b c (Å): 3.5636 3.5636 30.8856
angles (deg): 90.00 90.00 120.00
Closest atoms and distances in Å follow each position.
Space group R-3m (No. 166, hexagonal axes)
Inequivalent atoms, fractional coordinates:
Tb1 0.0000 0.0000 0.1125 x6  3 Co 2.65
Er1 0.0000 0.0000 0.0000 x3  2 Tb 3.48, 6 Er 3.56
Co1 0.0000 0.0000 0.5000 x3  6 Tb 2.65

N(E_F)   17.44 states/eV per cell
Offset from the most stable computed form   133.2 kJ/mol of formula units
Magnetic moment   0.04 μB per atom
V   113 Å³/f.u.



Tb2ErCo | GGA-PBE | relaxed

a b c (Å): 3.4256 3.4256 8.7104
angles (deg): 90.00 90.00 90.00
Closest atoms and distances in Å follow each position.
Space group P4/mmm (No. 123)
Inequivalent atoms, fractional coordinates:
Tb1 0.0000 0.0000 0.1870 x2  4 Co 2.92, 1 Tb 3.26
Er1 0.5000 0.5000 0.5000 x1  4 Er 3.43, 8 Tb 3.65
Co1 0.5000 0.5000 0.0000 x1  8 Tb 2.92

N(E_F)   4.93 states/eV per cell
Offset from the most stable computed form   52.6 kJ/mol of formula units
Magnetic moment   0.31 μB per atom
V   102 Å³/f.u.



Tb3ErCo | GGA-PBE | relaxed

a b c (Å): 5.2826 5.2826 5.2826
angles (deg): 90.00 90.00 90.00
Closest atoms and distances in Å follow each position.
Space group Pm-3m (No. 221)
Inequivalent atoms, fractional coordinates:
Tb1 0.0000 0.0000 0.5000 x3  2 Co 2.64
Er1 0.5000 0.5000 0.5000 x1  12 Tb 3.74
Co1 0.0000 0.0000 0.0000 x1  6 Tb 2.64

N(E_F)   8.39 states/eV per cell
Offset from the most stable computed form   64.5 kJ/mol of formula units
Magnetic moment   0.00 μB per atom
V   147 Å³/f.u.



TbEr12Co6 | GGA-PBE | relaxed

a b c (Å): 9.6751 9.6751 9.6751
angles (deg): 90.00 90.00 90.00
Closest atoms and distances in Å follow each position.
Space group Im-3 (No. 204)
Inequivalent atoms, fractional coordinates:
Tb1 0.0000 0.0000 0.0000 x2  12 Er 3.52
Er1 0.0000 0.1937 0.3085 x24  3 Co 2.63-2.86
Co1 0.0000 0.3860 0.5000 x12  1 Co 2.21

N(E_F)   31.76 states/eV per cell
E   -5.524 eV/atom
Magnetic moment   0.00 μB per atom
V   453 Å³/f.u.



Tb2ErCo | GGA-PBE | relaxed

a b c (Å): 6.9450 9.4755 6.1866
angles (deg): 90.00 90.00 90.00
Closest atoms and distances in Å follow each position.
Space group Pnma (No. 62)
Inequivalent atoms, fractional coordinates:
Tb1 0.1758 0.0682 0.1766 x8  2 Co 2.77-2.83
Er1 0.0428 0.2500 0.6452 x4  2 Co 2.67-2.72
Co1 0.1139 0.7500 0.9524 x4  2 Er 2.67-2.72, 4 Tb 2.77-2.83

N(E_F)   18.69 states/eV per cell
Offset from the most stable computed form   0.0 kJ/mol of formula units
Magnetic moment   0.00 μB per atom
V   102 Å³/f.u.



Tb4ErCo2 | GGA-PBE | relaxed

a b c (Å): 7.6785 6.3585 7.6955
angles (deg): 90.00 112.95 90.00
Closest atoms and distances in Å follow each position.
Space group P2_1/m (No. 11)
Inequivalent atoms, fractional coordinates:
Tb1 0.1252 0.2500 0.4792 x2  2 Co 2.62-2.79
Tb2 0.1733 0.7500 0.2516 x2  2 Co 2.64-2.84
Tb3 0.2603 0.5025 0.9116 x4  4 Co 2.92-3.05, 2 Tb 3.15-3.21
Er1 0.4708 0.2500 0.3372 x2  1 Co 2.71
Co1 0.0937 0.2500 0.1282 x2  2 Tb 2.62-2.84, 1 Er 2.71
Co2 0.4888 0.2500 0.7621 x2  6 Tb 2.64-2.95

N(E_F)   16.31 states/eV per cell
E   -5.369 eV/atom
Magnetic moment   0.00 μB per atom
V   173 Å³/f.u.